[1]
A plane-wave DFT calculation with GGA-PBE was carried out for a relaxed structure of TbNd4Er3Te8.

```
16
Lattice="-0.519 2.773 8.249 -7.638 -4.550 1.049 7.118 -4.225 -2.739" Properties=species:S:1:pos:R:3 pbc="T T T"
Er -0.260 -4.388 -0.845
Er -4.078 -0.889 4.649
Er -0.519 -3.001 3.279
Te -2.333 0.842 6.464
Te -2.075 -0.534 2.369
Te 1.037 -5.469 4.190
Te -2.510 -3.344 5.573
Te 1.294 -6.845 0.095
Te 1.471 -2.659 0.986
Te -2.240 -4.748 1.455
Te 1.201 -1.255 5.104
Nd 0.000 0.000 0.000
Nd 3.559 -2.113 -1.369
Nd 3.300 -0.726 2.755
Nd -0.259 1.386 4.124
Tb -3.819 -2.275 0.525
```

Summary:
Formation energy (no corrections), eV per atom: -1.333

***

[2]
A plane-wave DFT calculation with GGA-PBE was carried out for a relaxed structure of HoMgCdCu.

```
4
Lattice="-4.242 -1.076 2.187 -0.026 -2.602 4.143 -1.185 2.151 4.232" Properties=species:S:1:pos:R:3 pbc="T T T"
Ho -2.726 -0.763 5.281
Mg 0.000 0.000 0.000
Cu -1.363 -0.382 2.641
Cd -4.089 -1.145 7.922
```

Summary:
ΔH_f (0 K), meV per atom: -221

***

[3]
A plane-wave DFT calculation with GGA-PBE was carried out for a relaxed structure of Tb2PmTm5In.

```
18
Lattice="5.323 0.000 0.000 -2.661 10.004 0.000 0.000 0.000 10.422" Properties=species:S:1:pos:R:3 pbc="T T T"
Tm 2.661 4.205 8.412
Tm 2.661 9.788 5.298
Tm 0.000 7.732 0.086
Tm 0.000 5.799 3.201
Tm 2.661 0.001 2.690
Tm 2.661 4.201 2.182
Tm 0.000 0.216 0.086
Tm 2.661 2.272 5.297
Tm 0.000 5.803 7.393
Tm 0.000 10.003 7.902
In 0.000 8.104 5.294
In 2.661 1.900 0.083
Pm 2.661 5.810 5.297
Pm 0.000 4.194 0.086
Tb 2.661 7.677 8.324
Tb 0.000 2.327 3.113
Tb 2.661 7.675 2.270
Tb 0.000 2.328 7.481
```

Summary:
ΔH_f (0 K), meV per atom: -3

***

no.,total magnetization (μB/atom),E_tot (eV/atom)
1,0.000,-5.2406
2,0.000,-3.0171
3,0.000,-4.3484